Entry 1:
Entry from Alexandria via LeMat-Bulk: a relaxed Ba2MoCl5O crystal (PBE with a Hubbard U).

As for the crystal system: tetragonal. The calculation puts the total energy at -4.665 eV/atom.

It has space group I4mm (No. 107), with a = 6.755 Å, b = 6.755 Å, c = 10.008 Å, α = 90.00°, β = 90.00° and γ = 90.00°. Symmetry generates all atoms from Ba at (0.000, 0.500, 0.000), Mo at (0.000, 0.000, 0.228), Cl at (0.000, 0.000, 0.490), Cl at (0.241, 0.241, 0.748) and O at (0.000, 0.000, 0.031).

---

Entry 2:
Entry from Alexandria via LeMat-Bulk: a relaxed Ba2MoCl2O4 crystal (PBE with a Hubbard U).

As for the crystal system: tetragonal. The calculation puts the total energy at -5.837 eV/atom.

It has space group I4/mmm (No. 139), with a = 6.476 Å, b = 6.476 Å, c = 8.201 Å, α = 90.00°, β = 90.00° and γ = 90.00°. Symmetry generates all atoms from Ba at (0.000, 0.500, 0.250), Mo at (0.000, 0.000, 0.000), Cl at (0.000, 0.000, 0.301) and O at (0.206, 0.206, 0.000).

---

Copy entry 1 word for word.
Entry from Alexandria via LeMat-Bulk: a relaxed Ba2MoCl5O crystal (PBE with a Hubbard U).

As for the crystal system: tetragonal. The calculation puts the total energy at -4.665 eV/atom.

It has space group I4mm (No. 107), with a = 6.755 Å, b = 6.755 Å, c = 10.008 Å, α = 90.00°, β = 90.00° and γ = 90.00°. Symmetry generates all atoms from Ba at (0.000, 0.500, 0.000), Mo at (0.000, 0.000, 0.228), Cl at (0.000, 0.000, 0.490), Cl at (0.241, 0.241, 0.748) and O at (0.000, 0.000, 0.031).